Entry 1:
# TlCd3Pd (GGA-PBE, relaxed)
# - Fermi-level density of states: 2.45 states/eV/f.u.
# - E_tot: -2.0738 eV per atom
# - E_form: -0.013 eV/atom
# - Offset from the most stable computed form: 0.000 eV per atom
data_TlCd3Pd
_symmetry_space_group_name_H-M 'P m -3 m'
_symmetry_Int_Tables_number 221
_symmetry_space_group_name_Hall '-P 4 2 3'
_cell_length_a 5.229
_cell_length_b 5.229
_cell_length_c 5.229
_cell_angle_alpha 90.00
_cell_angle_beta 90.00
_cell_angle_gamma 90.00
loop_
_atom_site_label
_atom_site_type_symbol
_atom_site_fract_x
_atom_site_fract_y
_atom_site_fract_z
Tl1 Tl 0.000 0.000 0.000
Cd1 Cd 0.000 0.500 0.500
Pd1 Pd 0.500 0.500 0.500

***

Entry 2:
# TlAgPb (GGA-PBE, relaxed)
# - Fermi-level density of states: 1.24 states/eV/f.u.
# - E_tot: -2.8673 eV per atom
# - E_form: 0.108 eV/atom
data_TlAgPb
_symmetry_space_group_name_H-M 'P n m a'
_symmetry_Int_Tables_number 62
_cell_length_a 10.983
_cell_length_b 4.561
_cell_length_c 6.593
_cell_angle_alpha 90.00
_cell_angle_beta 90.00
_cell_angle_gamma 90.00
loop_
_symmetry_equiv_pos_as_xyz
'x,y,z'
'-x,-y,-z'
'-x+1/2,-y,z+1/2'
'x+1/2,y,-z+1/2'
'x+1/2,-y+1/2,-z+1/2'
'-x+1/2,y+1/2,z+1/2'
'-x,y+1/2,-z'
'x,-y+1/2,z'
loop_
_atom_site_label
_atom_site_type_symbol
_atom_site_fract_x
_atom_site_fract_y
_atom_site_fract_z
Tl1 Tl 0.067 0.250 0.151
Ag1 Ag 0.085 0.750 0.468
Pb1 Pb 0.192 0.250 0.702

***

Entry 3:
# AlAgSn2 (GGA-PBE, relaxed)
# - Fermi-level density of states: 2.22 states/eV/f.u.
# - E_tot: -3.4728 eV per atom
# - E_form: 0.177 eV/atom
data_AlAgSn2
_symmetry_space_group_name_H-M 'R -3 m'
_symmetry_Int_Tables_number 166
_symmetry_space_group_name_Hall '-R 3 2"'
_cell_length_a 3.1651
_cell_length_b 3.1651
_cell_length_c 32.1279
_cell_angle_alpha 90.00
_cell_angle_beta 90.00
_cell_angle_gamma 120.00
loop_
_atom_site_label
_atom_site_type_symbol
_atom_site_fract_x
_atom_site_fract_y
_atom_site_fract_z
Al1 Al 0.0000 0.0000 0.0000
Ag1 Ag 0.0000 0.0000 0.5000
Sn1 Sn 0.0000 0.0000 0.0901

***

Entry 4:
# Zr2NpCu (GGA-PBE, relaxed)
# - Fermi-level density of states: 6.83 states/eV/f.u.
# - E_tot: -8.3363 eV per atom
# - E_form: 0.197 eV/atom
# - Offset from the most stable computed form: 0.066 eV per atom
data_Zr2NpCu
_symmetry_space_group_name_H-M 'P 4/m m m'
_symmetry_Int_Tables_number 123
_symmetry_space_group_name_Hall '-P 4 2'
_cell_length_a 5.040
_cell_length_b 5.040
_cell_length_c 3.114
_cell_angle_alpha 90.00
_cell_angle_beta 90.00
_cell_angle_gamma 90.00
loop_
_atom_site_label
_atom_site_type_symbol
_atom_site_fract_x
_atom_site_fract_y
_atom_site_fract_z
Zr1 Zr 0.000 0.500 0.000
Np1 Np 0.000 0.000 0.500
Cu1 Cu 0.500 0.500 0.500

***

Entry 5:
# Y2ScNb (GGA-PBE, relaxed)
# - Fermi-level density of states: 6.74 states/eV/f.u.
# - E_tot: -6.6611 eV per atom
# - E_form: 0.671 eV/atom
# - Offset from the most stable computed form: 0.373 eV per atom
data_Y2ScNb
_symmetry_space_group_name_H-M 'I -4 2 d'
_symmetry_Int_Tables_number 122
_symmetry_space_group_name_Hall 'I -4 2bw'
_cell_length_a 8.154
_cell_length_b 8.154
_cell_length_c 6.344
_cell_angle_alpha 90.00
_cell_angle_beta 90.00
_cell_angle_gamma 90.00
loop_
_atom_site_label
_atom_site_type_symbol
_atom_site_fract_x
_atom_site_fract_y
_atom_site_fract_z
Y1 Y 0.236 0.250 0.125
Sc1 Sc 0.000 0.000 0.500
Nb1 Nb 0.000 0.000 0.000

***

Entry 6:
# NaAc2P (GGA-PBE, relaxed)
# - Fermi-level density of states: 4.07 states/eV/f.u.
# - E_tot: -4.1665 eV per atom
# - E_form: -0.430 eV/atom
# - Offset from the most stable computed form: 0.180 eV per atom
data_NaAc2P
_symmetry_space_group_name_H-M 'P 4/m m m'
_symmetry_Int_Tables_number 123
_symmetry_space_group_name_Hall '-P 4 2'
_cell_length_a 3.820
_cell_length_b 3.820
_cell_length_c 9.488
_cell_angle_alpha 90.00
_cell_angle_beta 90.00
_cell_angle_gamma 90.00
loop_
_atom_site_label
_atom_site_type_symbol
_atom_site_fract_x
_atom_site_fract_y
_atom_site_fract_z
Na1 Na 0.000 0.000 0.000
Ac1 Ac 0.500 0.500 0.316
P1 P 0.000 0.000 0.500

***

Entry 7:
# Sm2ErCu4 (GGA-PBE, relaxed)
# - Fermi-level density of states: 6.95 states/eV/f.u.
# - E_tot: -4.3465 eV per atom
# - E_form: -0.006 eV/atom
data_Sm2ErCu4
_symmetry_space_group_name_H-M 'I 4/m m m'
_symmetry_Int_Tables_number 139
_symmetry_space_group_name_Hall '-I 4 2'
_cell_length_a 5.126
_cell_length_b 5.126
_cell_length_c 11.715
_cell_angle_alpha 90.00
_cell_angle_beta 90.00
_cell_angle_gamma 90.00
loop_
_atom_site_label
_atom_site_type_symbol
_atom_site_fract_x
_atom_site_fract_y
_atom_site_fract_z
Sm1 Sm 0.000 0.000 0.209
Er1 Er 0.000 0.000 0.500
Cu1 Cu 0.000 0.500 0.110

***

Entry 8:
# AcCePrEu (GGA-PBE, relaxed)
# - Fermi-level density of states: 14.37 states/eV/f.u.
# - E_tot: -6.0233 eV per atom
# - E_form: 0.251 eV/atom
data_AcCePrEu
_symmetry_space_group_name_H-M 'F -4 3 m'
_symmetry_Int_Tables_number 216
_symmetry_space_group_name_Hall 'F -4 2 3'
_cell_length_a 8.544
_cell_length_b 8.544
_cell_length_c 8.544
_cell_angle_alpha 90.00
_cell_angle_beta 90.00
_cell_angle_gamma 90.00
loop_
_atom_site_label
_atom_site_type_symbol
_atom_site_fract_x
_atom_site_fract_y
_atom_site_fract_z
Ac1 Ac 0.000 0.000 0.000
Ce1 Ce 0.250 0.250 0.750
Pr1 Pr 0.000 0.000 0.500
Eu1 Eu 0.250 0.250 0.250

***

Entry 9:
# Ba3Li2Ag9 (GGA-PBE, relaxed)
# - Fermi-level density of states: 5.29 states/eV/f.u.
# - E_tot: -2.7231 eV per atom
# - E_form: -0.205 eV/atom
data_Ba3Li2Ag9
_symmetry_space_group_name_H-M 'I m m m'
_symmetry_Int_Tables_number 71
_symmetry_space_group_name_Hall '-I 2 2'
_cell_length_a 4.797
_cell_length_b 10.320
_cell_length_c 14.217
_cell_angle_alpha 90.00
_cell_angle_beta 90.00
_cell_angle_gamma 90.00
loop_
_atom_site_label
_atom_site_type_symbol
_atom_site_fract_x
_atom_site_fract_y
_atom_site_fract_z
Ba1 Ba 0.000 0.000 0.000
Ba2 Ba 0.000 0.000 0.298
Li1 Li 0.000 0.203 0.500
Ag1 Ag 0.000 0.282 0.121
Ag2 Ag 0.000 0.354 0.335
Ag3 Ag 0.000 0.500 0.000

***

Entry 10:
# Mg3ZnSe (GGA-PBE, relaxed)
# - Fermi-level density of states: 4.25 states/eV/f.u.
# - E_tot: -1.8414 eV per atom
# - Uncorrected formation energy: 6.5 kJ/mol of atoms
# - Offset from the most stable computed form: 0.253 eV per atom
data_Mg3ZnSe
_symmetry_space_group_name_H-M 'P m -3 m'
_symmetry_Int_Tables_number 221
_symmetry_space_group_name_Hall '-P 4 2 3'
_cell_length_a 4.983
_cell_length_b 4.983
_cell_length_c 4.983
_cell_angle_alpha 90.00
_cell_angle_beta 90.00
_cell_angle_gamma 90.00
loop_
_atom_site_label
_atom_site_type_symbol
_atom_site_fract_x
_atom_site_fract_y
_atom_site_fract_z
Mg1 Mg 0.000 0.000 0.500
Zn1 Zn 0.000 0.000 0.000
Se1 Se 0.500 0.500 0.500

***

Entry 11:
# La12SmTm3 (GGA-PBE, relaxed)
# - Fermi-level density of states: 21.43 states/eV/f.u.
# - E_tot: -4.8213 eV per atom
# - E_form: 0.008 eV/atom
data_La12SmTm3
_symmetry_space_group_name_H-M 'P 4/m m m'
_symmetry_Int_Tables_number 123
_symmetry_space_group_name_Hall '-P 4 2'
_cell_length_a 5.199
_cell_length_b 5.199
_cell_length_c 20.797
_cell_angle_alpha 90.00
_cell_angle_beta 90.00
_cell_angle_gamma 90.00
loop_
_atom_site_label
_atom_site_type_symbol
_atom_site_fract_x
_atom_site_fract_y
_atom_site_fract_z
La1 La 0.000 0.000 0.000
La2 La 0.000 0.000 0.249
La3 La 0.000 0.000 0.500
La4 La 0.000 0.500 0.124
La5 La 0.000 0.500 0.374
Sm1 Sm 0.500 0.500 0.500
Tm1 Tm 0.500 0.500 0.000
Tm2 Tm 0.500 0.500 0.249

***

Entry 12:
# Mg3Tl5Hg12 (GGA-PBE, relaxed)
# - Fermi-level density of states: 12.75 states/eV/f.u.
# - E_tot: -0.9095 eV per atom
# - E_form: 0.102 eV/atom
data_Mg3Tl5Hg12
_symmetry_space_group_name_H-M 'I a -3 d'
_symmetry_Int_Tables_number 230
_symmetry_space_group_name_Hall '-I 4bd 2c 3'
_cell_length_a 17.414
_cell_length_b 17.414
_cell_length_c 17.414
_cell_angle_alpha 90.00
_cell_angle_beta 90.00
_cell_angle_gamma 90.00
loop_
_atom_site_label
_atom_site_type_symbol
_atom_site_fract_x
_atom_site_fract_y
_atom_site_fract_z
Mg1 Mg 0.000 0.250 0.125
Tl1 Tl 0.000 0.000 0.000
Tl2 Tl 0.000 0.250 0.375
Hg1 Hg 0.010 0.086 0.654

***

Entry 13:
# Tl2Cr2Pt (GGA-PBE, relaxed)
# - Fermi-level density of states: 2.97 states/eV/f.u.
# - E_tot: -5.5130 eV per atom
# - E_form: 0.491 eV/atom
# - Offset from the most stable computed form: 0.000 eV per atom
data_Tl2Cr2Pt
_symmetry_space_group_name_H-M 'P 4/m b m'
_symmetry_Int_Tables_number 127
_symmetry_space_group_name_Hall '-P 4 2ab'
_cell_length_a 6.479
_cell_length_b 6.479
_cell_length_c 4.388
_cell_angle_alpha 90.00
_cell_angle_beta 90.00
_cell_angle_gamma 90.00
loop_
_atom_site_label
_atom_site_type_symbol
_atom_site_fract_x
_atom_site_fract_y
_atom_site_fract_z
Tl1 Tl 0.192 0.308 0.000
Cr1 Cr 0.104 0.604 0.500
Pt1 Pt 0.000 0.000 0.500

***

Entry 14:
# HoPaCoPd (GGA-PBE, relaxed)
# - Fermi-level density of states: 5.38 states/eV/f.u.
# - E_tot: -6.8984 eV per atom
# - E_form: -0.305 eV/atom
data_HoPaCoPd
_symmetry_space_group_name_H-M 'F -4 3 m'
_symmetry_Int_Tables_number 216
_symmetry_space_group_name_Hall 'F -4 2 3'
_cell_length_a 6.848
_cell_length_b 6.848
_cell_length_c 6.848
_cell_angle_alpha 90.00
_cell_angle_beta 90.00
_cell_angle_gamma 90.00
loop_
_atom_site_label
_atom_site_type_symbol
_atom_site_fract_x
_atom_site_fract_y
_atom_site_fract_z
Ho1 Ho 0.000 0.000 0.000
Pa1 Pa 0.000 0.000 0.500
Co1 Co 0.250 0.250 0.250
Pd1 Pd 0.250 0.250 0.750

***

Entry 15:
# Sc3FeIr (GGA-PBE, relaxed)
# - Fermi-level density of states: 3.59 states/eV/f.u.
# - E_tot: -7.1502 eV per atom
# - E_form: 0.113 eV/atom
# - Offset from the most stable computed form: 0.000 eV per atom
data_Sc3FeIr
_symmetry_space_group_name_H-M 'P m -3 m'
_symmetry_Int_Tables_number 221
_symmetry_space_group_name_Hall '-P 4 2 3'
_cell_length_a 4.631
_cell_length_b 4.631
_cell_length_c 4.631
_cell_angle_alpha 90.00
_cell_angle_beta 90.00
_cell_angle_gamma 90.00
loop_
_atom_site_label
_atom_site_type_symbol
_atom_site_fract_x
_atom_site_fract_y
_atom_site_fract_z
Sc1 Sc 0.000 0.000 0.500
Fe1 Fe 0.000 0.000 0.000
Ir1 Ir 0.500 0.500 0.500

***

Entry 16:
# PmMgAu (GGA-PBE, relaxed)
# - Fermi-level density of states: 1.69 states/eV/f.u.
# - E_tot: -3.6930 eV per atom
# - E_form: -0.485 eV/atom
# - Offset from the most stable computed form: 0.173 eV per atom
data_PmMgAu
_symmetry_space_group_name_H-M 'R -3 m'
_symmetry_Int_Tables_number 166
_symmetry_space_group_name_Hall '-R 3 2"'
_cell_length_a 5.0705
_cell_length_b 5.0705
_cell_length_c 21.9199
_cell_angle_alpha 90.00
_cell_angle_beta 90.00
_cell_angle_gamma 120.00
loop_
_atom_site_label
_atom_site_type_symbol
_atom_site_fract_x
_atom_site_fract_y
_atom_site_fract_z
Pm1 Pm 0.0000 0.0000 0.1128
Mg1 Mg 0.0000 0.0000 0.3724
Au1 Au 0.0000 0.0000 0.2496

***

Entry 17:
# BaCI2N (GGA-PBE, relaxed)
# - Fermi-level density of states: 7.00 states/eV/f.u.
# - E_tot: -2.9103 eV per atom
# - Uncorrected formation energy: 154.8 kJ/mol of atoms
# - Offset from the most stable computed form: 0.834 eV per atom
data_BaCI2N
_symmetry_space_group_name_H-M 'P 4/m m m'
_symmetry_Int_Tables_number 123
_symmetry_space_group_name_Hall '-P 4 2'
_cell_length_a 6.803
_cell_length_b 6.803
_cell_length_c 5.477
_cell_angle_alpha 90.00
_cell_angle_beta 90.00
_cell_angle_gamma 90.00
loop_
_atom_site_label
_atom_site_type_symbol
_atom_site_fract_x
_atom_site_fract_y
_atom_site_fract_z
Ba1 Ba 0.000 0.000 0.000
C1 C 0.500 0.500 0.500
I1 I 0.000 0.500 0.000
N1 N 0.000 0.000 0.500

***

Entry 18:
# KPmY2Te4 (GGA-PBE, relaxed)
# - Fermi-level density of states: 3.17 states/eV/f.u.
# - E_tot: -5.2681 eV per atom
# - Uncorrected formation energy: -130.3 kJ/mol of atoms
data_KPmY2Te4
_symmetry_space_group_name_H-M 'P 1 2/m 1'
_symmetry_Int_Tables_number 10
_cell_length_a 7.827
_cell_length_b 4.417
_cell_length_c 7.861
_cell_angle_alpha 90.00
_cell_angle_beta 108.38
_cell_angle_gamma 90.00
loop_
_symmetry_equiv_pos_as_xyz
'x,y,z'
'-x,-y,-z'
'-x,y,-z'
'x,-y,z'
loop_
_atom_site_label
_atom_site_type_symbol
_atom_site_fract_x
_atom_site_fract_y
_atom_site_fract_z
K1 K 0.000 0.000 0.000
Pm1 Pm 0.500 0.500 0.000
Y1 Y 0.000 0.500 0.500
Y2 Y 0.500 0.000 0.500
Te1 Te 0.251 0.000 0.738
Te2 Te 0.264 0.500 0.270

***

Entry 19:
# CrMo2As (GGA-PBE, relaxed)
# - Fermi-level density of states: 3.58 states/eV/f.u.
# - E_tot: -8.7648 eV per atom
# - E_form: 0.219 eV/atom
data_CrMo2As
_symmetry_space_group_name_H-M 'P 4/m m m'
_symmetry_Int_Tables_number 123
_symmetry_space_group_name_Hall '-P 4 2'
_cell_length_a 3.713
_cell_length_b 3.713
_cell_length_c 4.342
_cell_angle_alpha 90.00
_cell_angle_beta 90.00
_cell_angle_gamma 90.00
loop_
_atom_site_label
_atom_site_type_symbol
_atom_site_fract_x
_atom_site_fract_y
_atom_site_fract_z
Cr1 Cr 0.000 0.000 0.000
Mo1 Mo 0.000 0.500 0.500
As1 As 0.500 0.500 0.000

***

Entry 20:
# NiHRuW2 (GGA-PBE, relaxed)
# - Fermi-level density of states: 2.39 states/eV/f.u.
# - E_tot: -8.7773 eV per atom
# - Offset from the most stable computed form: 0.000 eV per atom
data_NiHRuW2
_symmetry_space_group_name_H-M 'P 4/m m m'
_symmetry_Int_Tables_number 123
_symmetry_space_group_name_Hall '-P 4 2'
_cell_length_a 3.937
_cell_length_b 3.937
_cell_length_c 3.826
_cell_angle_alpha 90.00
_cell_angle_beta 90.00
_cell_angle_gamma 90.00
loop_
_atom_site_label
_atom_site_type_symbol
_atom_site_fract_x
_atom_site_fract_y
_atom_site_fract_z
Ni1 Ni 0.000 0.000 0.000
H1 H 0.000 0.000 0.500
Ru1 Ru 0.500 0.500 0.000
W1 W 0.000 0.500 0.500